A plane-wave DFT calculation with PBE was carried out for an optimized crystal structure of CaPb3.

Computed properties:
- Volume: 30.4 A^3/atom
- Formation energy from the elements: -1.1 eV/f.u.
- Spin magnetization: 0.00 μB/cell

abc: 4.8244 4.9454 10.2057
angles: 90.00 90.00 90.00
With the nearest neighbours (Å) after each atom.
Space group Immm (No. 71)
Symmetry-distinct sites (fractional):
Ca 0.0000 0.0000 0.0000 (multiplicity 2)  12 Pb 3.45-3.56
Pb 0.0000 0.0000 0.5000 (multiplicity 2)  4 Ca 3.45, 8 Pb 3.52-3.55
Pb 0.0000 0.5000 0.2509 (multiplicity 4)  8 Pb 3.45-3.55, 4 Ca 3.50-3.56



A plane-wave DFT calculation with PBE was carried out for an optimized crystal structure of CaPb.

Computed properties:
- Volume: 32.7 A^3/atom
- Formation energy from the elements: -0.8 eV/f.u.
- Spin magnetization: 0.00 μB/cell

abc: 6.2807 9.0970 9.1449
angles: 90.00 90.00 90.00
With the nearest neighbours (Å) after each atom.
Space group P2_12_12_1 (No. 19)
Symmetry-distinct sites (fractional):
Ca 0.1070 0.0429 0.0689 (multiplicity 4)  6 Pb 3.22-3.55
Ca 0.1215 0.2932 0.7508 (multiplicity 4)  5 Pb 3.29-3.52
Pb 0.1349 0.4089 0.1060 (multiplicity 4)  2 Pb 3.19-3.24, 5 Ca 3.35-3.55
Pb 0.1414 0.2093 0.3932 (multiplicity 4)  2 Pb 3.19-3.24, 6 Ca 3.22-3.52



A plane-wave DFT calculation with PBE was carried out for an optimized crystal structure of CaPb.

Computed properties:
- Volume: 35.0 A^3/atom
- Formation energy from the elements: -0.3 eV/f.u.
- Spin magnetization: 0.00 μB/cell

abc: 6.5399 6.5399 6.5399
angles: 90.00 90.00 90.00
With the nearest neighbours (Å) after each atom.
Space group Fm-3m (No. 225)
Symmetry-distinct sites (fractional):
Ca 0.0000 0.0000 0.0000 (multiplicity 4)  6 Pb 3.27
Pb 0.0000 0.0000 0.5000 (multiplicity 4)  6 Ca 3.27



A plane-wave DFT calculation with PBE was carried out for an optimized crystal structure of Ca5Pb4.

Computed properties:
- Volume: 32.7 A^3/atom
- Formation energy from the elements: -4.5 eV/f.u.
- ΔE to the lowest computed polymorph: 0.7 kJ/mol of atoms
- Spin magnetization: 0.00 μB/cell

abc: 11.6983 4.9451 10.9542
angles: 90.00 111.71 90.00
With the nearest neighbours (Å) after each atom.
Space group C2/m (No. 12)
Symmetry-distinct sites (fractional):
Ca 0.0000 0.0000 0.0000 (multiplicity 2)  4 Pb 3.17
Ca 0.0854 0.0000 0.3840 (multiplicity 4)  7 Pb 3.25-3.59
Ca 0.2450 0.0000 0.8291 (multiplicity 4)  6 Pb 3.37-3.51, 1 Ca 3.70
Pb 0.0500 0.5000 0.8450 (multiplicity 4)  1 Pb 3.11, 6 Ca 3.17-3.46
Pb 0.1341 0.5000 0.6070 (multiplicity 4)  2 Pb 3.11-3.15, 5 Ca 3.25-3.37



Question: Which value of spin magnetization does entry 4 give?
Answer: 0.00 μB/cell